Record 1
Density functional theory data (PBE) for a geometry-optimized BaBe2Pb structure.

Lattice parameters (Å, degrees): 4.3207 4.3207 6.4841 70.56 70.56 60.00
Sites, in units of the cell vectors:
Pb 0.7500 0.7500 0.7500
Be 0.0452 0.0452 0.8638
Be 0.4548 0.4548 0.6362
Ba 0.2500 0.2500 0.2500

Results
Space group = R-3m
DOS(E_F) = 1.877 states/eV/f.u.
ΔH_f (0 K) = 0.323 eV per atom
Calculated density = 6.220 Mg/m³

Record 2
Density functional theory data (PBE) for a geometry-optimized KBa2U3S8 structure.

Lattice parameters (Å, degrees): 8.3633 8.3633 8.8735 61.88 61.88 60.00
Last column: magnetic moment on the atom in μB.
Sites, in units of the cell vectors:
K 0.8698 0.8698 0.3906  0.00
Ba 0.1264 0.1264 0.6207  0.01
Ba 0.5009 0.5009 0.4972  0.01
U 0.5005 0.9956 0.0033  2.30
U 0.9956 0.5005 0.0033  2.30
U 0.5005 0.5005 0.0033  2.30
S 0.2681 0.2681 0.1958  -0.06
S 0.7291 0.7291 0.8126  -0.06
S 0.2502 0.2502 0.8024  -0.05
S 0.6973 0.2502 0.8024  -0.05
S 0.2502 0.6973 0.8024  -0.05
S 0.7513 0.3013 0.1961  -0.05
S 0.3013 0.7513 0.1961  -0.05
S 0.7513 0.7513 0.1961  -0.05

Results
Space group = R3m
DOS(E_F) = 13.801 states/eV/f.u.
Uncorrected formation energy = -1.552 eV per atom
Calculated density = 4.729 Mg/m³